[1]
Below is a relaxed Cs2Tl5Pt crystal, with properties calculated at the GGA-PBE level.

Values from the calculation:
DOS at the Fermi energy = 5.1 states/eV/cell
energy relative to the elements = -0.031 eV per atom
DFT total energy = -2.478 eV/atom

abc: 8.2477 8.2477 6.9065
angles: 114.72 114.72 49.50
Element x y z (fractional)
1 Cs 0.0000 0.0000 0.0000
2 Cs 0.5000 0.5000 0.4983
3 Tl 0.0180 0.5099 0.0099
4 Tl 0.0191 0.5099 0.5191
5 Tl 0.0855 0.0855 0.5855
6 Tl 0.5099 0.0180 0.0099
7 Tl 0.5099 0.0191 0.5191
8 Pt 0.8690 0.8690 0.3691

[2]
Below is a relaxed ScAs2PdS crystal, with properties calculated at the GGA-PBE level.

Values from the calculation:
DOS at the Fermi energy = 4.8 states/eV/cell
DFT total energy = -4.320 eV/atom
formation energy without anion corrections = 15.45 kcal/mol of atoms

abc: 5.0615 5.0615 4.8863
angles: 90.00 90.00 90.00
Element x y z (fractional)
1 Sc 0.0000 0.0000 0.0000
2 As 0.0000 0.5000 0.0000
3 As 0.5000 0.0000 0.0000
4 Pd 0.0000 0.0000 0.5000
5 S 0.5000 0.5000 0.5000

[3]
Below is a relaxed Ce4CSe2 crystal, with properties calculated at the GGA-PBE level.

Values from the calculation:
DOS at the Fermi energy = 17.6 states/eV/cell
DFT total energy = -6.567 eV/atom
formation energy without anion corrections = -19.91 kcal/mol of atoms

abc: 8.4249 8.4249 8.4249
angles: 147.58 147.58 46.50
Element x y z (fractional)
1 Ce 0.0000 0.5000 0.5000
2 Ce 0.1636 0.1636 0.0000
3 Ce 0.5000 0.0000 0.5000
4 Ce 0.8364 0.8364 0.0000
5 C 0.0000 0.0000 0.0000
6 Se 0.3617 0.3617 0.0000
7 Se 0.6383 0.6383 0.0000

[4]
Below is a relaxed UInCuHg crystal, with properties calculated at the GGA-PBE level.

Values from the calculation:
DOS at the Fermi energy = 9.7 states/eV/cell
energy relative to the elements = 0.201 eV per atom
DFT total energy = -4.405 eV/atom

abc: 4.9761 4.9761 4.9761
angles: 60.00 60.00 60.00
Element x y z (fractional)
1 U 0.0000 0.0000 0.0000
2 In 0.5000 0.5000 0.5000
3 Cu 0.2500 0.2500 0.2500
4 Hg 0.7500 0.7500 0.7500

[5]
Below is a relaxed Li12Ca2Cd3In crystal, with properties calculated at the GGA-PBE level.

Values from the calculation:
DOS at the Fermi energy = 11.1 states/eV/cell
energy relative to the elements = -0.074 eV per atom
DFT total energy = -1.877 eV/atom

abc: 7.3570 7.3570 7.3570
angles: 85.79 85.79 85.79
Element x y z (fractional)
1 Li 0.0734 0.0734 0.6488
2 Li 0.0734 0.6488 0.0734
3 Li 0.2299 0.6962 0.6962
4 Li 0.3038 0.3038 0.7701
5 Li 0.3038 0.7701 0.3038
6 Li 0.3512 0.9266 0.9266
7 Li 0.6488 0.0734 0.0734
8 Li 0.6962 0.2299 0.6962
9 Li 0.6962 0.6962 0.2299
10 Li 0.7701 0.3038 0.3038
11 Li 0.9266 0.3512 0.9266
12 Li 0.9266 0.9266 0.3512
13 Ca 0.2437 0.2437 0.2437
14 Ca 0.7563 0.7563 0.7563
15 Cd 0.0000 0.5000 0.5000
16 Cd 0.5000 0.0000 0.5000
17 Cd 0.5000 0.5000 0.0000
18 In 0.5000 0.5000 0.5000

[6]
Below is a relaxed DyMg2In crystal, with properties calculated at the GGA-PBE level.

Values from the calculation:
DOS at the Fermi energy = 1.4 states/eV/cell
energy relative to the elements = -0.119 eV per atom
DFT total energy = -2.751 eV/atom
excess energy over the best structure of this formula in the dataset = 159 meV/atom

abc: 5.1360 5.1360 5.1360
angles: 60.00 60.00 60.00
Element x y z (fractional)
1 Dy 0.0000 0.0000 0.0000
2 Mg 0.2500 0.2500 0.2500
3 Mg 0.7500 0.7500 0.7500
4 In 0.5000 0.5000 0.5000

[7]
Below is a relaxed TlCu crystal, with properties calculated at the GGA-PBE level.

Values from the calculation:
DOS at the Fermi energy = 3.1 states/eV/cell
energy relative to the elements = 0.333 eV per atom
DFT total energy = -2.898 eV/atom

abc: 7.8405 7.4237 5.2436
angles: 74.25 65.68 40.07
Element x y z (fractional)
1 Tl 0.0597 0.6903 0.0597
2 Tl 0.3097 0.9403 0.3097
3 Tl 0.6903 0.0597 0.6903
4 Tl 0.9403 0.3097 0.9403
5 Cu 0.2829 0.2829 0.4671
6 Cu 0.4671 0.4671 0.2829
7 Cu 0.5329 0.5329 0.7171
8 Cu 0.7171 0.7171 0.5329

[8]
Below is a relaxed MgGaPd2 crystal, with properties calculated at the GGA-PBE level.

Values from the calculation:
DOS at the Fermi energy = 1.2 states/eV/cell
energy relative to the elements = -0.561 eV per atom
DFT total energy = -4.313 eV/atom

abc: 3.0456 3.0456 8.2510
angles: 100.71 100.71 60.14
Element x y z (fractional)
1 Mg 0.0000 0.0000 0.0000
2 Ga 0.8339 0.8339 0.5003
3 Pd 0.4216 0.4216 0.2635
4 Pd 0.5786 0.5786 0.7369

[9]
Below is a relaxed Be2TeCl crystal, with properties calculated at the GGA-PBE level.

Values from the calculation:
DOS at the Fermi energy = 1.3 states/eV/cell
DFT total energy = -2.541 eV/atom
excess energy over the best structure of this formula in the dataset = 714 meV/atom
formation energy without anion corrections = 13.14 kcal/mol of atoms

abc: 4.6146 4.6146 3.2466
angles: 90.00 90.00 90.00
Element x y z (fractional)
1 Be 0.0000 0.5000 0.0000
2 Be 0.5000 0.0000 0.0000
3 Te 0.0000 0.0000 0.5000
4 Cl 0.5000 0.5000 0.5000

[10]
Below is a relaxed SrAc12La6 crystal, with properties calculated at the GGA-PBE level.

Values from the calculation:
DOS at the Fermi energy = 31.2 states/eV/cell
energy relative to the elements = 0.165 eV per atom
DFT total energy = -4.075 eV/atom

abc: 9.5894 9.5894 9.5894
angles: 98.32 98.32 98.32
Element x y z (fractional)
1 Sr 0.0000 0.0000 0.0000
2 Ac 0.0000 0.2649 0.7351
3 Ac 0.0000 0.7351 0.2649
4 Ac 0.1693 0.5902 0.5902
5 Ac 0.2649 0.0000 0.7351
6 Ac 0.2649 0.7351 0.0000
7 Ac 0.4098 0.4098 0.8307
8 Ac 0.4098 0.8307 0.4098
9 Ac 0.5902 0.1693 0.5902
10 Ac 0.5902 0.5902 0.1693
11 Ac 0.7351 0.0000 0.2649
12 Ac 0.7351 0.2649 0.0000
13 Ac 0.8307 0.4098 0.4098
14 La 0.1414 0.1414 0.4136
15 La 0.1414 0.4136 0.1414
16 La 0.4136 0.1414 0.1414
17 La 0.5864 0.8586 0.8586
18 La 0.8586 0.5864 0.8586
19 La 0.8586 0.8586 0.5864

[11]
Below is a relaxed HoMnCoP2 crystal, with properties calculated at the GGA-PBE level.

Values from the calculation:
DOS at the Fermi energy = 2.0 states/eV/cell
energy relative to the elements = -1.000 eV per atom
DFT total energy = -7.335 eV/atom

abc: 5.4734 5.4734 5.4734
angles: 139.06 139.06 59.29
Element x y z (fractional)
1 Ho 0.0000 0.0000 0.0000
2 Mn 0.2500 0.7500 0.5000
3 Co 0.7500 0.2500 0.5000
4 P 0.3689 0.3689 0.0000
5 P 0.6311 0.6311 0.0000

[12]
Below is a relaxed Na2Sn2Br crystal, with properties calculated at the GGA-PBE level.

Values from the calculation:
DOS at the Fermi energy = 2.6 states/eV/cell
DFT total energy = -2.739 eV/atom
excess energy over the best structure of this formula in the dataset = 0 meV/atom
formation energy without anion corrections = -6.36 kcal/mol of atoms

abc: 9.1813 9.1813 3.5347
angles: 90.00 90.00 90.00
Element x y z (fractional)
1 Na 0.1938 0.3062 0.0000
2 Na 0.3062 0.8062 0.0000
3 Na 0.6938 0.1938 0.0000
4 Na 0.8062 0.6938 0.0000
5 Sn 0.1088 0.6088 0.5000
6 Sn 0.3912 0.1088 0.5000
7 Sn 0.6088 0.8912 0.5000
8 Sn 0.8912 0.3912 0.5000
9 Br 0.0000 0.0000 0.5000
10 Br 0.5000 0.5000 0.5000